# 1
Compound: FePt2Au
Source: the Alexandria database
Functional: PBE
Structure: optimized geometry

Distance to the lowest polymorph of the same formula (eV per atom): 0.000
Energy of formation (meV/atom): -141.6
Symmetry: R-3m

Unit cell a=9.409 b=9.409 c=9.409 alpha=17.01 beta=17.01 gamma=17.01
Each line ends with the local moment (μB).
Fractional positions:
Au 0.250 0.250 0.250  0.04
Pt 0.492 0.492 0.492  0.30
Pt 0.008 0.008 0.008  0.30
Fe 0.750 0.750 0.750  3.04


# 2
Compound: U3CuHg3Te8
Source: the Alexandria database
Functional: PBE
Structure: optimized geometry

E_form (uncorrected) (kJ/mol of atoms): -26.7
Symmetry: C2/m

Unit cell a=8.420 b=8.236 c=10.849 alpha=111.54 beta=90.00 gamma=120.74
Each line ends with the local moment (μB).
Fractional positions:
Te 0.731 0.462 0.690  -0.08
Te 0.208 0.416 0.670  -0.07
Te 0.274 0.046 0.318  -0.10
Te 0.228 0.954 0.682  -0.10
Hg 0.000 0.500 0.000  -0.01
Te 0.772 0.046 0.318  -0.10
Hg 0.500 0.500 0.000  -0.01
Te 0.269 0.538 0.310  -0.08
U 0.500 0.000 0.500  1.60
Cu 0.000 0.000 0.500  -0.02
U 0.000 0.500 0.500  1.57
Te 0.726 0.954 0.682  -0.10
Te 0.792 0.584 0.330  -0.07
U 0.500 0.500 0.500  1.57
Hg 0.000 0.000 0.000  -0.01


Raw total energy values (in eV per atom) by entry order: -6.10; -4.54.